Compound: ZrVFe2O6
Source: the Alexandria database
Functional: PBE+U
Structure: optimized geometry

The total energy comes out at -78.2 eV/cell. Its space-group type is No. 1. The value obtained for the density is 5.05 g cm⁻³.

Cell: 5.2605 5.3128 5.6125 Å, 62.12 89.96 60.44°
Fractional coordinates of all 10 atoms:
Zr1 0.0000 0.0000 0.0000
V1 0.5024 0.9976 0.5102
Fe1 0.2094 0.5735 0.6301
Fe2 0.7160 0.5704 0.1380
O1 0.1255 0.4619 0.3101
O2 0.3039 0.8114 0.8045
O3 0.3807 0.8259 0.3173
O4 0.6131 0.0852 0.7993
O5 0.7510 0.0908 0.3138
O6 0.8842 0.4937 0.7912